[1]
A relaxed La2YRh crystal, computed with PBEsol.

Unit cell a=11.991 b=3.689 c=5.624 alpha=90.00 beta=116.89 gamma=90.00
Space group Cm (No. 8)
Unique sites:
La 0.000 0.000 0.000 x2
La 0.197 0.000 0.696 x2
Y 0.391 0.000 0.388 x2
Rh 0.197 0.500 0.238 x2

Summary:
V: 27.7 Å³/atom
E above lowest polymorph: 0.045 eV per atom

=====

[2]
A relaxed La2YRh crystal, computed with PBEsol.

Unit cell a=3.600 b=5.243 c=5.248 alpha=90.00 beta=90.00 gamma=90.00
Space group Pmmm (No. 47)
Unique sites:
La 0.000 0.000 0.000 x1
La 0.500 0.500 0.000 x1
Y 0.000 0.500 0.500 x1
Rh 0.500 0.000 0.500 x1

Summary:
V: 24.8 Å³/atom
E above lowest polymorph: 0.310 eV per atom

=====

[3]
A relaxed La2YRh crystal, computed with PBEsol.

Unit cell a=6.116 b=10.292 c=3.444 alpha=90.00 beta=113.85 gamma=90.00
Space group C2/m (No. 12)
Unique sites:
La 0.250 0.250 0.000 x4
Y 0.000 0.000 0.500 x2
Rh 0.000 0.500 0.500 x2

Summary:
V: 24.8 Å³/atom
E above lowest polymorph: 0.372 eV per atom

=====

[4]
A relaxed LaZn2Rh crystal, computed with PBEsol.

Unit cell a=3.171 b=3.171 c=7.097 alpha=90.00 beta=90.00 gamma=90.00
Space group P4/mmm (No. 123)
Unique sites:
La 0.000 0.000 0.000 x1
Zn 0.500 0.500 0.316 x2
Rh 0.000 0.000 0.500 x1

Summary:
V: 17.8 Å³/atom

=====

[5]
A relaxed LaZn2Rh crystal, computed with PBEsol.

Unit cell a=4.3298 b=4.3298 c=14.6782 alpha=90.00 beta=90.00 gamma=120.00
Space group R3m (No. 160, hexagonal axes)
Unique sites:
La 0.0000 0.0000 0.0000 x3
Zn 0.0000 0.0000 0.5178 x3
Zn 0.0000 0.0000 0.7984 x3
Rh 0.0000 0.0000 0.2010 x3

Summary:
V: 19.8 Å³/atom

=====

[6]
A relaxed LaZr2Rh crystal, computed with PBEsol.

Unit cell a=4.050 b=4.050 c=5.284 alpha=90.00 beta=90.00 gamma=90.00
Space group P4/mmm (No. 123)
Unique sites:
La 0.000 0.000 0.000 x1
Zr 0.000 0.500 0.500 x2
Rh 0.500 0.500 0.000 x1

Summary:
V: 21.7 Å³/atom
E above lowest polymorph: 0.225 eV per atom

=====

Number 1: formation energy -308 meV/atom. Number 2: formation energy -43 meV/atom. Number 3: formation energy 20 meV/atom. Number 4: formation energy -314 meV/atom. Number 5: formation energy -438 meV/atom. Number 6: formation energy -60 meV/atom.